No. 1
# PBE with a Hubbard U K8MnO6, relaxed
# **E_tot**: -4.238 eV per atom
# **M_tot**: 5.7 Bohr magnetons per cell
data_K8MnO6
_cell_length_a 7.520
_cell_length_b 7.146
_cell_length_c 11.740
_cell_angle_alpha 90.00
_cell_angle_beta 90.00
_cell_angle_gamma 90.00
_space_group_name_H-M_alt 'P m n 21'
_space_group_IT_number 31
loop_
_space_group_symop_operation_xyz
'x,y,z'
'-x+1/2,-y,z+1/2'
'-x,y,z'
'x+1/2,-y,z+1/2'
loop_
_atom_site_label
_atom_site_type_symbol
_atom_site_fract_x
_atom_site_fract_y
_atom_site_fract_z
K1 K 0.000 0.062 0.058
K2 K 0.000 0.151 0.598
K3 K 0.206 0.522 0.771
K4 K 0.222 0.645 0.500
K5 K 0.226 0.972 0.806
Mn1 Mn 0.000 0.658 0.098
O1 O 0.000 0.234 0.852
O2 O 0.000 0.413 0.147
O3 O 0.000 0.777 0.234
O4 O 0.000 0.783 0.653
O5 O 0.188 0.726 0.008

No. 2
# PBE with a Hubbard U K2MnO2, relaxed
# **E_tot**: -5.254 eV per atom
# **M_tot**: 20.0 Bohr magnetons per cell
data_K2MnO2
_cell_length_a 8.605
_cell_length_b 6.542
_cell_length_c 6.575
_cell_angle_alpha 90.00
_cell_angle_beta 97.97
_cell_angle_gamma 90.00
_space_group_name_H-M_alt 'P 1 21/c 1'
_space_group_IT_number 14
loop_
_space_group_symop_operation_xyz
'x,y,z'
'-x,-y,-z'
'-x,y+1/2,-z+1/2'
'x,-y+1/2,z+1/2'
loop_
_atom_site_label
_atom_site_type_symbol
_atom_site_fract_x
_atom_site_fract_y
_atom_site_fract_z
K1 K 0.036 0.237 0.011
K2 K 0.313 0.618 0.902
Mn1 Mn 0.379 0.098 0.845
O1 O 0.164 0.528 0.259
O2 O 0.444 0.151 0.165

No. 3
# PBE with a Hubbard U K2Mn3O6, relaxed
# **E_tot**: -6.396 eV per atom
# **M_tot**: 17.9 Bohr magnetons per cell
data_K2Mn3O6
_cell_length_a 5.127
_cell_length_b 9.226
_cell_length_c 6.410
_cell_angle_alpha 90.00
_cell_angle_beta 104.73
_cell_angle_gamma 90.00
_space_group_name_H-M_alt 'C 1 2/m 1'
_space_group_IT_number 12
loop_
_space_group_symop_operation_xyz
'x,y,z'
'-x,-y,-z'
'-x,y,-z'
'x,-y,z'
'x+1/2,y+1/2,z'
'-x+1/2,-y+1/2,-z'
'-x+1/2,y+1/2,-z'
'x+1/2,-y+1/2,z'
loop_
_atom_site_label
_atom_site_type_symbol
_atom_site_fract_x
_atom_site_fract_y
_atom_site_fract_z
K1 K 0.000 0.163 0.000
Mn1 Mn 0.000 0.000 0.500
Mn2 Mn 0.000 0.333 0.500
O1 O 0.227 0.167 0.664
O2 O 0.227 0.500 0.664

No. 4
# PBE with a Hubbard U KMnO2, relaxed
# **E_tot**: -6.196 eV per atom
# **M_tot**: 16.0 Bohr magnetons per cell
data_KMnO2
_cell_length_a 7.062
_cell_length_b 6.365
_cell_length_c 5.608
_cell_angle_alpha 90.00
_cell_angle_beta 107.15
_cell_angle_gamma 90.00
_space_group_name_H-M_alt 'P 1 21/c 1'
_space_group_IT_number 14
loop_
_space_group_symop_operation_xyz
'x,y,z'
'-x,-y,-z'
'-x,y+1/2,-z+1/2'
'x,-y+1/2,z+1/2'
loop_
_atom_site_label
_atom_site_type_symbol
_atom_site_fract_x
_atom_site_fract_y
_atom_site_fract_z
K1 K 0.128 0.110 0.314
Mn1 Mn 0.394 0.696 0.363
O1 O 0.200 0.740 0.548
O2 O 0.424 0.151 0.800